1.
First-principles (PBE-GGA) data for crystalline SrCu2Te2F2 at its relaxed geometry, as listed in OQMD via LeMat-Bulk.

```
SrCu2Te2F2
1.0
-2.083 2.942 -0.841
-1.212 -1.727 -3.041
-7.718 -3.945 5.318
Cu F Sr Te
2 2 1 2
Direct
0.000 0.500 0.121
0.500 0.000 0.879
0.000 0.000 0.000
0.500 0.500 0.000
0.000 0.000 0.500
0.500 0.000 0.247
0.000 0.500 0.753
```

Calculated values
**Symmetry**: P-4m2, No. 115
**Energy**: -24.284 eV per cell

2.
First-principles (PBE-GGA) data for crystalline SrCuTeF at its relaxed geometry, as listed in OQMD via LeMat-Bulk.

```
SrCuTeF
1.0
-1.416 3.300 -2.239
1.726 -1.635 -3.501
-7.771 -4.506 -1.727
Cu F Sr Te
2 2 2 2
Direct
0.000 0.000 0.500
0.500 0.500 0.500
0.000 0.000 0.000
0.500 0.500 0.000
0.500 0.000 0.149
0.000 0.500 0.851
0.000 0.500 0.324
0.500 0.000 0.676
```

Calculated values
**Symmetry**: P4/nmm, No. 129
**Energy**: -36.172 eV per cell

3.
First-principles (PBE-GGA) data for crystalline Sr2CuTe2F2 at its relaxed geometry, as listed in OQMD via LeMat-Bulk.

```
Sr2CuTe2F2
1.0
-0.197 -3.788 1.682
2.969 -1.304 -2.588
6.519 2.438 6.251
Cu F Sr Te
1 2 2 2
Direct
0.000 0.000 0.000
0.000 0.000 0.500
0.500 0.500 0.500
0.500 0.000 0.351
0.000 0.500 0.649
0.000 0.500 0.161
0.500 0.000 0.839
```

Calculated values
**Symmetry**: P-4m2, No. 115
**Energy**: -32.135 eV per cell

4.
First-principles (PBE-GGA) data for crystalline ZnCu2Te2F2 at its relaxed geometry, as listed in OQMD via LeMat-Bulk.

```
ZnCu2Te2F2
1.0
3.620 0.000 0.000
0.000 3.620 0.000
0.000 0.000 9.200
Cu F Te Zn
2 2 2 1
Direct
0.500 0.000 0.134
0.000 0.500 0.866
0.000 0.000 0.000
0.500 0.500 0.000
0.000 0.500 0.286
0.500 0.000 0.714
0.000 0.000 0.500
```

Calculated values
**Symmetry**: P-4m2, No. 115
**Energy**: -22.733 eV per cell

5.
First-principles (PBE-GGA) data for crystalline Tl3CuF6 at its relaxed geometry, as listed in OQMD via LeMat-Bulk.

```
Tl3CuF6
1.0
0.000 4.260 4.260
4.260 0.000 4.260
4.260 4.260 0.000
Cu F Tl
1 6 3
Direct
0.000 0.000 0.000
0.764 0.236 0.236
0.236 0.764 0.236
0.764 0.764 0.236
0.236 0.236 0.764
0.764 0.236 0.764
0.236 0.764 0.764
0.250 0.250 0.250
0.500 0.500 0.500
0.750 0.750 0.750
```

Calculated values
**Symmetry**: Fm-3m, No. 225
**Energy**: -38.764 eV per cell

6.
First-principles (PBE-GGA) data for crystalline ZnCuF4 at its relaxed geometry, as listed in OQMD via LeMat-Bulk.

```
ZnCuF4
1.0
-2.507 2.507 4.942
2.507 -2.507 4.942
2.507 2.507 -4.942
Cu F Zn
2 8 2
Direct
0.500 0.000 0.500
0.000 0.500 0.500
0.173 0.673 0.114
0.441 0.941 0.114
0.059 0.173 0.500
0.327 0.441 0.500
0.673 0.559 0.500
0.941 0.827 0.500
0.559 0.059 0.886
0.827 0.327 0.886
0.250 0.250 0.000
0.750 0.750 0.000
```

Calculated values
**Symmetry**: I4/mcm, No. 140
**Energy above the lowest structure with this stoichiometry**: 61 meV per atom

7.
First-principles (PBE-GGA) data for crystalline ZnCuF4 at its relaxed geometry, as listed in OQMD via LeMat-Bulk.

```
ZnCuF4
1.0
3.183 0.000 0.000
-0.012 4.538 0.000
-0.096 -0.019 4.542
Cu F Zn
1 4 1
Direct
0.000 0.000 0.000
0.501 0.193 0.196
0.995 0.697 0.300
0.005 0.303 0.700
0.499 0.807 0.804
0.500 0.500 0.500
```

Calculated values
**Symmetry**: P-1, No. 2
**Energy above the lowest structure with this stoichiometry**: 0 meV per atom

8.
First-principles (PBE-GGA) data for crystalline ZrCuF6 at its relaxed geometry, as listed in OQMD via LeMat-Bulk.

```
ZrCuF6
1.0
-4.633 0.990 -0.668
-2.983 -3.557 -1.241
-3.276 -1.690 3.923
Cu F Zr
1 6 1
Direct
0.000 0.000 0.000
0.572 0.249 0.244
0.921 0.583 0.247
0.239 0.925 0.253
0.761 0.075 0.747
0.079 0.417 0.753
0.428 0.751 0.756
0.500 0.500 0.500
```

Calculated values
**Symmetry**: P-1, No. 2
**Total moment**: 1.000 μB per formula unit
**Energy**: -45.487 eV per cell

9.
First-principles (PBE-GGA) data for crystalline Fe2Cu at its relaxed geometry, as listed in OQMD via LeMat-Bulk.

```
Fe2Cu
1.0
-5.535 -0.640 4.840
0.387 -5.008 5.407
0.938 2.179 6.989
Cu Fe
2 4
Direct
0.000 0.000 0.000
0.750 0.750 0.750
0.875 0.875 0.375
0.875 0.375 0.875
0.875 0.875 0.875
0.375 0.875 0.875
```

Calculated values
**E_form**: 723 kJ/mol of formula units
**Symmetry**: Fd-3m, No. 227
**Total moment**: 7.124 μB per formula unit

10.
First-principles (PBE-GGA) data for crystalline Fe2Cu at its relaxed geometry, as listed in OQMD via LeMat-Bulk.

```
Fe2Cu
1.0
-3.829 -1.488 2.209
-0.677 1.089 4.484
-3.337 3.036 1.184
Cu Fe
2 4
Direct
0.000 0.000 0.000
0.250 0.250 0.250
0.625 0.625 0.125
0.625 0.125 0.625
0.125 0.625 0.625
0.625 0.625 0.625
```

Calculated values
**E_form**: 79 kJ/mol of formula units
**Symmetry**: Fd-3m, No. 227
**Total moment**: 4.206 μB per formula unit

11.
First-principles (PBE-GGA) data for crystalline Fe3Cu at its relaxed geometry, as listed in OQMD via LeMat-Bulk.

```
Fe3Cu
1.0
2.834 -3.157 -1.473
1.935 -2.253 3.368
-4.255 1.042 -0.985
Cu Fe
1 3
Direct
0.000 0.000 0.000
0.500 0.500 0.000
0.750 0.250 0.500
0.250 0.750 0.500
```

Calculated values
**E_form**: 53 kJ/mol of formula units
**Symmetry**: I4/mmm, No. 139
**Total moment**: 7.536 μB per formula unit

12.
First-principles (PBE-GGA) data for crystalline Fe3Cu2 at its relaxed geometry, as listed in OQMD via LeMat-Bulk.

```
Fe3Cu2
1.0
-6.011 0.000 0.000
3.006 -5.206 0.000
-3.006 1.735 4.219
Cu Fe
4 6
Direct
0.589 0.411 0.232
0.911 0.089 0.268
0.089 0.911 0.732
0.411 0.589 0.768
0.250 0.983 0.250
0.483 0.750 0.250
0.017 0.517 0.250
0.983 0.483 0.750
0.517 0.250 0.750
0.750 0.017 0.750
```

Calculated values
**E_form**: 263 kJ/mol of formula units
**Symmetry**: R-3c, No. 167
**Total moment**: 8.256 μB per formula unit

13.
First-principles (PBE-GGA) data for crystalline Ga2FeCu at its relaxed geometry, as listed in OQMD via LeMat-Bulk.

```
Ga2FeCu
1.0
0.000 3.015 3.015
3.015 0.000 3.015
3.015 3.015 0.000
Cu Fe Ga
1 1 2
Direct
0.250 0.250 0.250
0.500 0.500 0.500
0.000 0.000 0.000
0.750 0.750 0.750
```

Calculated values
**Symmetry**: F-43m, No. 216
**Total moment**: 2.170 μB per formula unit
**Energy**: -17.416 eV per cell

14.
First-principles (PBE-GGA) data for crystalline GaFeCu2 at its relaxed geometry, as listed in OQMD via LeMat-Bulk.

```
GaFeCu2
1.0
-3.253 -1.812 -1.664
-3.745 0.896 1.346
-2.552 2.147 -2.348
Cu Fe Ga
2 1 1
Direct
0.000 0.000 0.000
0.750 0.750 0.750
0.250 0.250 0.250
0.500 0.500 0.500
```

Calculated values
**Symmetry**: F-43m, No. 216
**Total moment**: 2.200 μB per formula unit
**Energy**: -18.593 eV per cell

15.
First-principles (PBE-GGA) data for crystalline GaFeCu at its relaxed geometry, as listed in OQMD via LeMat-Bulk.

```
GaFeCu
1.0
0.000 2.837 2.837
2.837 0.000 2.837
2.837 2.837 0.000
Cu Fe Ga
1 1 1
Direct
0.250 0.250 0.250
0.000 0.000 0.000
0.750 0.750 0.750
```

Calculated values
**Symmetry**: F-43m, No. 216
**Total moment**: 2.329 μB per formula unit
**Energy**: -14.088 eV per cell

16.
First-principles (PBE-GGA) data for crystalline Ga3FeCu at its relaxed geometry, as listed in OQMD via LeMat-Bulk.

```
Ga3FeCu
1.0
4.514 0.000 0.000
0.000 4.514 0.000
0.000 0.000 4.514
Cu Fe Ga
1 1 3
Direct
0.500 0.500 0.500
0.000 0.000 0.000
0.500 0.000 0.000
0.000 0.500 0.000
0.000 0.000 0.500
```

Calculated values
**Symmetry**: Pm-3m, No. 221
**Total moment**: 0.408 μB per formula unit
**Energy**: -19.669 eV per cell

17.
First-principles (PBE-GGA) data for crystalline HfGaFeCu at its relaxed geometry, as listed in OQMD via LeMat-Bulk.

```
HfGaFeCu
1.0
-3.620 0.542 2.433
-1.011 3.975 1.580
-3.434 2.205 -1.631
Cu Fe Ga Hf
1 1 1 1
Direct
0.750 0.750 0.750
0.500 0.500 0.500
0.000 0.000 0.000
0.250 0.250 0.250
```

Calculated values
**Symmetry**: F-43m, No. 216
**Energy above the lowest structure with this stoichiometry**: 174 meV per atom
**Total moment**: 1.894 μB per formula unit

18.
First-principles (PBE-GGA) data for crystalline HfGaFeCu at its relaxed geometry, as listed in OQMD via LeMat-Bulk.

```
HfGaFeCu
1.0
0.000 3.070 3.070
3.070 0.000 3.070
3.070 3.070 0.000
Cu Fe Ga Hf
1 1 1 1
Direct
0.750 0.750 0.750
0.250 0.250 0.250
0.000 0.000 0.000
0.500 0.500 0.500
```

Calculated values
**Symmetry**: F-43m, No. 216
**Energy above the lowest structure with this stoichiometry**: 0 meV per atom
**Total moment**: 1.224 μB per formula unit

19.
First-principles (PBE-GGA) data for crystalline HfGaFeCu at its relaxed geometry, as listed in OQMD via LeMat-Bulk.

```
HfGaFeCu
1.0
-1.821 -3.468 1.953
-4.288 -0.759 -0.442
-1.387 -3.386 -2.402
Cu Fe Ga Hf
1 1 1 1
Direct
0.500 0.500 0.500
0.750 0.750 0.750
0.000 0.000 0.000
0.250 0.250 0.250
```

Calculated values
**Symmetry**: F-43m, No. 216
**Energy above the lowest structure with this stoichiometry**: 88 meV per atom
**Total moment**: 2.074 μB per formula unit

20.
First-principles (PBE-GGA) data for crystalline Hf2Ga2FeCuIr2 at its relaxed geometry, as listed in OQMD via LeMat-Bulk.

```
Hf2Ga2FeCuIr2
1.0
4.418 0.000 0.000
0.000 4.418 0.000
0.000 0.000 6.245
Cu Fe Ga Hf Ir
1 1 2 2 2
Direct
0.500 0.500 0.000
0.000 0.000 0.500
0.500 0.000 0.253
0.000 0.500 0.747
0.000 0.500 0.255
0.500 0.000 0.745
0.000 0.000 0.000
0.500 0.500 0.500
```

Calculated values
**Symmetry**: P-4m2, No. 115
**Total moment**: 0.702 μB per formula unit
**Energy**: -60.191 eV per cell